First-principles (meta-GGA SCAN) data for Al2ZnTe4 at its PBEsol-relaxed geometry, as listed in the Alexandria database.

Cell: 5.9611 5.9611 11.7831 Å, 90.00 90.00 90.00°
With the nearest neighbours (Å) after each atom.
Space group I-4 (No. 82)
Asymmetric unit:
Al  0.0000  0.0000  0.0000 x2  4 Te 2.64
Al  0.0000  0.5000  0.2500 x2  4 Te 2.64
Zn  0.0000  0.0000  0.5000 x2  4 Te 2.65
Te  0.2313  0.7328  0.8656 x8  2 Al 2.64, 1 Zn 2.65


First-principles (meta-GGA SCAN) data for AlZn2Te at its PBEsol-relaxed geometry, as listed in the Alexandria database.

Cell: 6.8416 6.8416 6.8416 Å, 90.00 90.00 90.00°
With the nearest neighbours (Å) after each atom.
Space group F-43m (No. 216)
Asymmetric unit:
Al  0.0000  0.0000  0.0000 x4  4 Te 2.96, 4 Zn 2.96
Zn  0.0000  0.0000  0.5000 x4  4 Zn 2.96, 4 Te 2.96
Zn  0.2500  0.2500  0.2500 x4  4 Al 2.96, 4 Zn 2.96
Te  0.2500  0.2500  0.7500 x4  4 Al 2.96, 4 Zn 2.96

Computed properties:
Energy above the lowest structure with this stoichiometry in meV per atom: 143


First-principles (meta-GGA SCAN) data for AlZn2Te at its PBEsol-relaxed geometry, as listed in the Alexandria database.

Cell: 6.4904 6.4904 9.5820 Å, 90.00 90.00 90.00°
With the nearest neighbours (Å) after each atom.
Space group I-42d (No. 122)
Asymmetric unit:
Al  0.0000  0.0000  0.0000 x4  4 Zn 2.54
Zn  0.2382  0.2500  0.1250 x8  2 Al 2.54, 2 Te 2.64
Te  0.0000  0.0000  0.5000 x4  4 Zn 2.64

Computed properties:
Energy above the lowest structure with this stoichiometry in meV per atom: 0


Calculated energy relative to the elements, uncorrected in order - -0.5082, 0.3368, 0.1933 eV per atom
Calculated total energy in order - -25.940, -17.672, -17.815 eV per atom